# CdTe2C | Alexandria | PBE-GGA | relaxed
data_CdTe2C
_space_group_name_H-M_alt 'R -3 m'
_space_group_IT_number 166
_space_group_name_Hall '-R 3 2"'
_cell_length_a 4.7568
_cell_length_b 4.7568
_cell_length_c 21.1868
_cell_angle_alpha 90.00
_cell_angle_beta 90.00
_cell_angle_gamma 120.00
loop_
_atom_site_label
_atom_site_fract_x
_atom_site_fract_y
_atom_site_fract_z
Cd1 0.0000 0.0000 0.0000
Te1 0.0000 0.0000 0.4080
C1 0.0000 0.0000 0.5000
# calculated volume: 34.60 A^3/atom

# ScInAg2 | Alexandria | PBE-GGA | relaxed
data_ScInAg2
_space_group_name_H-M_alt 'I -4 2 d'
_space_group_IT_number 122
_space_group_name_Hall 'I -4 2bw'
_cell_length_a 6.3031
_cell_length_b 6.3031
_cell_length_c 12.4640
_cell_angle_alpha 90.00
_cell_angle_beta 90.00
_cell_angle_gamma 90.00
loop_
_atom_site_label
_atom_site_fract_x
_atom_site_fract_y
_atom_site_fract_z
Sc1 0.0000 0.0000 0.0000
In1 0.0000 0.0000 0.5000
Ag1 0.2459 0.2500 0.6250
# calculated volume: 30.95 A^3/atom
# E_form: 0.5250 eV per atom

# LuGaPdAu | Alexandria | PBE-GGA | relaxed
data_LuGaPdAu
_space_group_name_H-M_alt 'F -4 3 m'
_space_group_IT_number 216
_space_group_name_Hall 'F -4 2 3'
_cell_length_a 6.6565
_cell_length_b 6.6565
_cell_length_c 6.6565
_cell_angle_alpha 90.00
_cell_angle_beta 90.00
_cell_angle_gamma 90.00
loop_
_atom_site_label
_atom_site_fract_x
_atom_site_fract_y
_atom_site_fract_z
Lu1 0.0000 0.0000 0.0000
Ga1 0.0000 0.0000 0.5000
Pd1 0.2500 0.2500 0.2500
Au1 0.2500 0.2500 0.7500
# calculated volume: 18.43 A^3/atom
# E_form: -0.7368 eV per atom

# AcPrDyEr2 | Alexandria | PBE-GGA | relaxed
data_AcPrDyEr2
_space_group_name_H-M_alt 'C m c m'
_space_group_IT_number 63
_space_group_name_Hall '-C 2c 2'
_cell_length_a 6.4495
_cell_length_b 17.5587
_cell_length_c 6.5052
_cell_angle_alpha 90.00
_cell_angle_beta 90.00
_cell_angle_gamma 90.00
loop_
_atom_site_label
_atom_site_fract_x
_atom_site_fract_y
_atom_site_fract_z
Ac1 0.0000 0.1582 0.2500
Pr1 0.0000 0.3473 0.2500
Dy1 0.0000 0.2317 0.7500
Er1 0.2492 0.0000 0.0000
# calculated volume: 36.83 A^3/atom
# E_form: 0.3810 eV per atom

# TlPd3Pb3 | Alexandria | PBE-GGA | relaxed
data_TlPd3Pb3
_space_group_name_H-M_alt 'C 1 2/m 1'
_space_group_IT_number 12
_space_group_name_Hall '-C 2y'
_cell_length_a 8.8245
_cell_length_b 10.4797
_cell_length_c 7.1082
_cell_angle_alpha 90.00
_cell_angle_beta 90.14
_cell_angle_gamma 90.00
loop_
_atom_site_label
_atom_site_fract_x
_atom_site_fract_y
_atom_site_fract_z
Tl1 0.2421 0.0000 0.3366
Pd1 0.0819 0.5000 0.3198
Pd2 0.2496 0.2425 0.7883
Pb1 0.0000 0.2546 0.5000
Pb2 0.0000 0.3375 0.0000
Pb3 0.1189 0.0000 0.8277
# calculated volume: 23.48 A^3/atom
# E_form: -0.1450 eV per atom

# Nd3Zn4In4 | Alexandria | PBE-GGA | relaxed
data_Nd3Zn4In4
_space_group_name_H-M_alt 'I m m m'
_space_group_IT_number 71
_space_group_name_Hall '-I 2 2'
_cell_length_a 4.6960
_cell_length_b 7.1441
_cell_length_c 15.4517
_cell_angle_alpha 90.00
_cell_angle_beta 90.00
_cell_angle_gamma 90.00
loop_
_atom_site_label
_atom_site_fract_x
_atom_site_fract_y
_atom_site_fract_z
Nd1 0.0000 0.0000 0.0000
Nd2 0.0000 0.5000 0.1302
Zn1 0.0000 0.3153 0.3356
In1 0.0000 0.0000 0.2176
In2 0.0000 0.1974 0.5000
# calculated volume: 23.56 A^3/atom
# E_form: -0.4023 eV per atom

# BaLuAl4 | Alexandria | PBE-GGA | relaxed
data_BaLuAl4
_space_group_name_H-M_alt 'F -4 3 m'
_space_group_IT_number 216
_space_group_name_Hall 'F -4 2 3'
_cell_length_a 8.1407
_cell_length_b 8.1407
_cell_length_c 8.1407
_cell_angle_alpha 90.00
_cell_angle_beta 90.00
_cell_angle_gamma 90.00
loop_
_atom_site_label
_atom_site_fract_x
_atom_site_fract_y
_atom_site_fract_z
Ba1 0.0000 0.0000 0.0000
Lu1 0.2500 0.2500 0.7500
Al1 0.1244 0.1244 0.3756
# calculated volume: 22.48 A^3/atom
# E_form: -0.2168 eV per atom

# Rb3PuMg2O6 | Alexandria | PBE-GGA | relaxed
data_Rb3PuMg2O6
_space_group_name_H-M_alt 'C 1 2/m 1'
_space_group_IT_number 12
_space_group_name_Hall '-C 2y'
_cell_length_a 5.7397
_cell_length_b 9.9645
_cell_length_c 6.7370
_cell_angle_alpha 90.00
_cell_angle_beta 106.37
_cell_angle_gamma 90.00
loop_
_atom_site_label
_atom_site_fract_x
_atom_site_fract_y
_atom_site_fract_z
Rb1 0.0000 0.0000 0.0000
Rb2 0.0000 0.3280 0.0000
Pu1 0.0000 0.5000 0.5000
Mg1 0.0000 0.1667 0.5000
O1 0.2204 0.3371 0.6702
O2 0.2318 0.0000 0.6726
# calculated volume: 15.40 A^3/atom

Electronic total energy / eV per atom: -3.216, -3.168, -4.741, -4.142, -4.298, -3.162, -3.786, -6.329